Entry from Alexandria via LeMat-Bulk: an optimized crystal structure of Ti3InH (PBE).

Cell lengths 5.378, 4.791, 5.820 Å; angles 91.17, 96.71, 90.54 degrees
Fractional coordinates of all 10 atoms:
In 0.768 0.572 0.087
In 0.077 0.057 0.589
Ti 0.584 0.070 0.794
Ti 0.278 0.549 0.387
Ti 0.060 0.077 0.085
Ti 0.260 0.558 0.882
Ti 0.565 0.080 0.289
Ti 0.784 0.552 0.591
H 0.530 0.815 0.526
H 0.314 0.813 0.150

Calculated values
DOS at the Fermi energy = 0.87 states/eV/atom
space group = P-1, No. 2
electronic total energy = -61.84 eV for the cell shown
ρ = 5.786 Mg/m³

***

Entry from Alexandria via LeMat-Bulk: an optimized crystal structure of TiInH (PBE).

Cell lengths 3.052, 3.129, 9.118 Å; angles 99.93, 90.06, 90.00 degrees
Fractional coordinates of all 6 atoms:
H 0.250 0.251 0.502
H 0.750 0.749 0.498
Ti 0.749 0.187 0.373
Ti 0.251 0.813 0.627
In 0.249 0.575 0.150
In 0.751 0.425 0.850

Calculated values
DOS at the Fermi energy = 0.42 states/eV/atom
space group = P-1, No. 2
ρ = 6.340 Mg/m³
energy above the lowest structure with this stoichiometry = 39 meV per atom

***

Entry from Alexandria via LeMat-Bulk: an optimized crystal structure of Ti5In3H2 (PBE).

Cell lengths 5.997, 7.955, 7.955 Å; angles 68.04, 67.85, 67.85 degrees
Fractional coordinates of all 20 atoms:
H 0.814 0.254 0.118
H 0.686 0.882 0.746
H 0.314 0.118 0.254
H 0.186 0.746 0.882
Ti 0.631 0.130 0.608
Ti 0.131 0.608 0.130
Ti 0.369 0.870 0.392
Ti 0.491 0.259 0.259
Ti 0.869 0.392 0.870
Ti 0.509 0.741 0.741
Ti 0.750 0.500 0.500
Ti 0.991 0.259 0.259
Ti 0.250 0.500 0.500
Ti 0.009 0.741 0.741
In 0.876 0.866 0.382
In 0.376 0.382 0.866
In 0.624 0.618 0.134
In 0.250 0.000 0.000
In 0.750 0.000 0.000
In 0.124 0.134 0.618

Calculated values
DOS at the Fermi energy = 0.76 states/eV/atom
space group = Ibam, No. 72
electronic total energy = -112.32 eV for the cell shown
ρ = 6.206 Mg/m³

***

Question: Look up the ρ of the third one.
Answer: 6.206 Mg/m³